Record 1
A geometry-optimized CrSiSe2 structure. Source: Alexandria via LeMat-Bulk, functional PBE-GGA.

```
data_CrSiSe2
_cell_length_a 7.321
_cell_length_b 7.321
_cell_length_c 7.321
_cell_angle_alpha 133.56
_cell_angle_beta 133.56
_cell_angle_gamma 67.77
_space_group_name_H-M_alt 'P 1'
_space_group_IT_number 1
_space_group_name_Hall 'P 1'
loop_
_atom_site_label
_atom_site_type_symbol
_atom_site_fract_x
_atom_site_fract_y
_atom_site_fract_z
_atom_site_occupancy
Cr1 Cr 0.000 0.000 0.000 1
Cr2 Cr 0.750 0.250 0.500 1
Si1 Si 0.250 0.750 0.500 1
Si2 Si 0.500 0.500 0.000 1
Se1 Se 0.120 0.625 0.995 1
Se2 Se 0.375 0.370 0.495 1
Se3 Se 0.630 0.125 0.005 1
Se4 Se 0.875 0.880 0.505 1
```

Total DFT energy (no corrections): -5.444 eV per atom
Magnetization: 4.0 μB/f.u.

---

Record 2
A geometry-optimized CrSi2Se2 structure. Source: Alexandria via LeMat-Bulk, functional PBE-GGA.

```
data_CrSi2Se2
_cell_length_a 6.491
_cell_length_b 6.491
_cell_length_c 3.961
_cell_angle_alpha 90.00
_cell_angle_beta 90.00
_cell_angle_gamma 90.00
_space_group_name_H-M_alt 'P 1'
_space_group_IT_number 1
_space_group_name_Hall 'P 1'
loop_
_atom_site_label
_atom_site_type_symbol
_atom_site_fract_x
_atom_site_fract_y
_atom_site_fract_z
_atom_site_occupancy
Cr1 Cr 0.000 0.000 0.000 1
Cr2 Cr 0.500 0.500 0.000 1
Si1 Si 0.137 0.363 0.000 1
Si2 Si 0.363 0.863 0.000 1
Si3 Si 0.637 0.137 0.000 1
Si4 Si 0.863 0.637 0.000 1
Se1 Se 0.198 0.698 0.500 1
Se2 Se 0.302 0.198 0.500 1
Se3 Se 0.698 0.802 0.500 1
Se4 Se 0.802 0.302 0.500 1
```

Total DFT energy (no corrections): -5.021 eV per atom
Magnetization: 0.0 μB/f.u.

---

Record 3
A geometry-optimized CrSi2Se structure. Source: Alexandria via LeMat-Bulk, functional PBE-GGA.

```
data_CrSi2Se
_cell_length_a 4.547
_cell_length_b 4.547
_cell_length_c 3.087
_cell_angle_alpha 90.00
_cell_angle_beta 90.00
_cell_angle_gamma 106.22
_space_group_name_H-M_alt 'P 1'
_space_group_IT_number 1
_space_group_name_Hall 'P 1'
loop_
_atom_site_label
_atom_site_type_symbol
_atom_site_fract_x
_atom_site_fract_y
_atom_site_fract_z
_atom_site_occupancy
Cr1 Cr 0.000 0.000 0.000 1
Si1 Si 0.000 0.500 0.500 1
Si2 Si 0.500 0.000 0.500 1
Se1 Se 0.500 0.500 0.000 1
```

Total DFT energy (no corrections): -5.547 eV per atom
Magnetization: 2.5 μB/f.u.

---

Record 4
A geometry-optimized CrSi2Se structure. Source: Alexandria via LeMat-Bulk, functional PBE-GGA.

```
data_CrSi2Se
_cell_length_a 4.343
_cell_length_b 4.343
_cell_length_c 4.954
_cell_angle_alpha 93.51
_cell_angle_beta 93.51
_cell_angle_gamma 43.85
_space_group_name_H-M_alt 'P 1'
_space_group_IT_number 1
_space_group_name_Hall 'P 1'
loop_
_atom_site_label
_atom_site_type_symbol
_atom_site_fract_x
_atom_site_fract_y
_atom_site_fract_z
_atom_site_occupancy
Cr1 Cr 0.000 0.000 0.000 1
Si1 Si 0.284 0.284 0.837 1
Si2 Si 0.716 0.716 0.163 1
Se1 Se 0.500 0.500 0.500 1
```

Total DFT energy (no corrections): -5.688 eV per atom
Magnetization: 0.4 μB/f.u.

---

Record 5
A geometry-optimized CrSiSe2 structure. Source: Alexandria via LeMat-Bulk, functional PBE-GGA.

```
data_CrSiSe2
_cell_length_a 3.371
_cell_length_b 3.413
_cell_length_c 7.074
_cell_angle_alpha 90.00
_cell_angle_beta 90.30
_cell_angle_gamma 90.00
_space_group_name_H-M_alt 'P 1'
_space_group_IT_number 1
_space_group_name_Hall 'P 1'
loop_
_atom_site_label
_atom_site_type_symbol
_atom_site_fract_x
_atom_site_fract_y
_atom_site_fract_z
_atom_site_occupancy
Cr1 Cr 0.000 0.000 0.000 1
Si1 Si 0.500 0.500 0.999 1
Se1 Se 0.003 0.500 0.268 1
Se2 Se 0.497 0.000 0.732 1
```

Total DFT energy (no corrections): -5.597 eV per atom
Magnetization: 0.2 μB/f.u.

---

Record 6
A geometry-optimized CrSiSe2 structure. Source: Alexandria via LeMat-Bulk, functional PBE-GGA.

```
data_CrSiSe2
_cell_length_a 7.681
_cell_length_b 7.681
_cell_length_c 7.681
_cell_angle_alpha 152.78
_cell_angle_beta 152.78
_cell_angle_gamma 38.87
_space_group_name_H-M_alt 'P 1'
_space_group_IT_number 1
_space_group_name_Hall 'P 1'
loop_
_atom_site_label
_atom_site_type_symbol
_atom_site_fract_x
_atom_site_fract_y
_atom_site_fract_z
_atom_site_occupancy
Cr1 Cr 0.000 0.000 0.000 1
Si1 Si 0.750 0.250 0.500 1
Se1 Se 0.250 0.750 0.500 1
Se2 Se 0.500 0.500 0.000 1
```

Total DFT energy (no corrections): -5.272 eV per atom
Magnetization: 3.9 μB/f.u.

---

Record 7
A geometry-optimized CrSi2Se structure. Source: Alexandria via LeMat-Bulk, functional PBE-GGA.

```
data_CrSi2Se
_cell_length_a 4.375
_cell_length_b 4.375
_cell_length_c 4.375
_cell_angle_alpha 110.91
_cell_angle_beta 110.91
_cell_angle_gamma 106.63
_space_group_name_H-M_alt 'P 1'
_space_group_IT_number 1
_space_group_name_Hall 'P 1'
loop_
_atom_site_label
_atom_site_type_symbol
_atom_site_fract_x
_atom_site_fract_y
_atom_site_fract_z
_atom_site_occupancy
Cr1 Cr 0.000 0.000 0.000 1
Si1 Si 0.250 0.750 0.500 1
Si2 Si 0.500 0.500 0.000 1
Se1 Se 0.750 0.250 0.500 1
```

Total DFT energy (no corrections): -5.571 eV per atom
Magnetization: 3.1 μB/f.u.

---

Record 8
A geometry-optimized Cr2SiSe structure. Source: Alexandria via LeMat-Bulk, functional PBE-GGA.

```
data_Cr2SiSe
_cell_length_a 5.856
_cell_length_b 5.856
_cell_length_c 5.856
_cell_angle_alpha 149.12
_cell_angle_beta 146.55
_cell_angle_gamma 46.17
_space_group_name_H-M_alt 'P 1'
_space_group_IT_number 1
_space_group_name_Hall 'P 1'
loop_
_atom_site_label
_atom_site_type_symbol
_atom_site_fract_x
_atom_site_fract_y
_atom_site_fract_z
_atom_site_occupancy
Cr1 Cr 0.000 0.000 0.000 1
Cr2 Cr 0.760 0.260 0.500 1
Si1 Si 0.424 0.424 0.000 1
Se1 Se 0.174 0.674 0.500 1
```

Total DFT energy (no corrections): -7.087 eV per atom
Magnetization: 1.3 μB/f.u.

---

Record 9
A geometry-optimized CrSiSe2 structure. Source: Alexandria via LeMat-Bulk, functional PBE-GGA.

```
data_CrSiSe2
_cell_length_a 7.225
_cell_length_b 7.225
_cell_length_c 7.225
_cell_angle_alpha 152.56
_cell_angle_beta 142.59
_cell_angle_gamma 47.02
_space_group_name_H-M_alt 'P 1'
_space_group_IT_number 1
_space_group_name_Hall 'P 1'
loop_
_atom_site_label
_atom_site_type_symbol
_atom_site_fract_x
_atom_site_fract_y
_atom_site_fract_z
_atom_site_occupancy
Cr1 Cr 0.000 0.000 0.000 1
Si1 Si 0.543 0.043 0.500 1
Se1 Se 0.127 0.627 0.500 1
Se2 Se 0.411 0.411 0.000 1
```

Total DFT energy (no corrections): -5.384 eV per atom
Magnetization: 2.8 μB/f.u.

---

Record 10
A geometry-optimized CrSiSe2 structure. Source: Alexandria via LeMat-Bulk, functional PBE-GGA.

```
data_CrSiSe2
_cell_length_a 4.648
_cell_length_b 4.648
_cell_length_c 4.639
_cell_angle_alpha 110.42
_cell_angle_beta 110.42
_cell_angle_gamma 107.50
_space_group_name_H-M_alt 'P 1'
_space_group_IT_number 1
_space_group_name_Hall 'P 1'
loop_
_atom_site_label
_atom_site_type_symbol
_atom_site_fract_x
_atom_site_fract_y
_atom_site_fract_z
_atom_site_occupancy
Cr1 Cr 0.000 0.000 0.000 1
Si1 Si 0.500 0.500 0.000 1
Se1 Se 0.000 0.500 0.500 1
Se2 Se 0.500 0.000 0.500 1
```

Total DFT energy (no corrections): -5.362 eV per atom
Magnetization: 3.4 μB/f.u.

---

Record 11
A geometry-optimized Cr4SiSe structure. Source: Alexandria via LeMat-Bulk, functional PBE-GGA.

```
data_Cr4SiSe
_cell_length_a 4.813
_cell_length_b 4.813
_cell_length_c 4.813
_cell_angle_alpha 60.00
_cell_angle_beta 60.00
_cell_angle_gamma 60.00
_space_group_name_H-M_alt 'P 1'
_space_group_IT_number 1
_space_group_name_Hall 'P 1'
loop_
_atom_site_label
_atom_site_type_symbol
_atom_site_fract_x
_atom_site_fract_y
_atom_site_fract_z
_atom_site_occupancy
Cr1 Cr 0.124 0.124 0.124 1
Cr2 Cr 0.124 0.124 0.628 1
Cr3 Cr 0.124 0.628 0.124 1
Cr4 Cr 0.628 0.124 0.124 1
Si1 Si 0.500 0.500 0.500 1
Se1 Se 0.750 0.750 0.750 1
```

Total DFT energy (no corrections): -7.492 eV per atom
Magnetization: 0.0 μB/f.u.

---

Record 12
A geometry-optimized CrSi2Se structure. Source: Alexandria via LeMat-Bulk, functional PBE-GGA.

```
data_CrSi2Se
_cell_length_a 6.669
_cell_length_b 6.669
_cell_length_c 6.669
_cell_angle_alpha 128.29
_cell_angle_beta 128.29
_cell_angle_gamma 76.15
_space_group_name_H-M_alt 'P 1'
_space_group_IT_number 1
_space_group_name_Hall 'P 1'
loop_
_atom_site_label
_atom_site_type_symbol
_atom_site_fract_x
_atom_site_fract_y
_atom_site_fract_z
_atom_site_occupancy
Cr1 Cr 0.000 0.000 0.000 1
Cr2 Cr 0.750 0.250 0.500 1
Si1 Si 0.109 0.625 0.984 1
Si2 Si 0.375 0.359 0.484 1
Si3 Si 0.641 0.125 0.016 1
Si4 Si 0.875 0.891 0.516 1
Se1 Se 0.250 0.750 0.500 1
Se2 Se 0.500 0.500 0.000 1
```

Total DFT energy (no corrections): -5.428 eV per atom
Magnetization: 2.6 μB/f.u.

---

Look up the magnetization of the tenth one. 3.4 μB/f.u.

---

Which of these has the highest total DFT energy (no corrections)? CrSi2Se2

---

What is the formula in the fourth record? CrSi2Se

---

Which of these has the lowest total DFT energy (no corrections)? Cr4SiSe